Computed, not measured: a relaxed KP3S crystal at the PBE-GGA level of DFT.

a b c (Å): 4.7696 4.7696 4.7696
angles (deg): 90.00 90.00 90.00
With the nearest neighbours (Å) after each atom.
Atoms (fractional coordinates):
1 P 0.5000 0.0000 0.0000  2 S 2.38
2 P 0.0000 0.5000 0.0000  2 S 2.38
3 P 0.0000 0.0000 0.5000  2 S 2.38
4 K 0.5000 0.5000 0.5000  12 P 3.37
5 S 0.0000 0.0000 0.0000  6 P 2.38

Output
- space group = Pm-3m (221)
- formation energy without anion corrections (eV per formula unit) = 3.39
- size of the total moment (μB/f.u.) = 0.0
- volume (Å³/cell) = 108.5
- energy relative to the lowest polymorph listed for this composition (meV per atom) = 0.0
- VASP energy (Ha/atom) = -0.1328